#w
Material: Sm4AgHg3
Method: DFT, GGA-PBE
State: relaxed

- Calculated density: 10.2 Mg/m³
- Total magnetic moment: 0.14 μB/atom
- D(E_F): 17.14 states/eV/cell

Cell and atoms, written as CIF:
```
data_Sm4AgHg3
_symmetry_space_group_name_H-M 'C 1 2/m 1'
_symmetry_Int_Tables_number 12
_symmetry_space_group_name_Hall '-C 2y'
_cell_length_a 15.979
_cell_length_b 5.335
_cell_length_c 5.335
_cell_angle_alpha 90.00
_cell_angle_beta 109.45
_cell_angle_gamma 90.00
loop_
_atom_site_label
_atom_site_fract_x
_atom_site_fract_y
_atom_site_fract_z
_atom_site_occupancy
Sm1 0.124 0.000 0.124 1
Sm2 0.124 0.500 0.624 1
Ag1 0.000 0.000 0.500 1
Hg1 0.000 0.500 0.000 1
Hg2 0.250 0.000 0.750 1
```

#x
Material: Sm4AgHg3
Method: DFT, GGA-PBE
State: relaxed

- Calculated density: 9.9 Mg/m³
- Total magnetic moment: 0.00 μB/atom
- D(E_F): 9.22 states/eV/cell

Cell and atoms, written as CIF:
```
data_Sm4AgHg3
_symmetry_space_group_name_H-M 'P m m 2'
_symmetry_Int_Tables_number 25
_symmetry_space_group_name_Hall 'P 2 -2'
_cell_length_a 3.776
_cell_length_b 4.911
_cell_length_c 11.844
_cell_angle_alpha 90.00
_cell_angle_beta 90.00
_cell_angle_gamma 90.00
loop_
_atom_site_label
_atom_site_fract_x
_atom_site_fract_y
_atom_site_fract_z
_atom_site_occupancy
Sm1 0.000 0.000 0.000 1
Sm2 0.000 0.500 0.291 1
Sm3 0.500 0.000 0.493 1
Sm4 0.500 0.500 0.795 1
Ag1 0.500 0.000 0.224 1
Hg1 0.000 0.000 0.728 1
Hg2 0.000 0.500 0.562 1
Hg3 0.500 0.500 0.067 1
```

Which of them is the least stable? Correct choice: #x.

#w
Material: Sm4AgHg
Method: DFT, GGA-PBE
State: relaxed

- Calculated density: 8.6 Mg/m³
- Total magnetic moment: 0.00 μB/atom
- D(E_F): 10.82 states/eV/cell

Cell and atoms, written as CIF:
```
data_Sm4AgHg
_symmetry_space_group_name_H-M 'P 1 21/c 1'
_symmetry_Int_Tables_number 14
_symmetry_space_group_name_Hall '-P 2ybc'
_cell_length_a 6.251
_cell_length_b 9.328
_cell_length_c 6.251
_cell_angle_alpha 90.00
_cell_angle_beta 105.79
_cell_angle_gamma 90.00
loop_
_atom_site_label
_atom_site_fract_x
_atom_site_fract_y
_atom_site_fract_z
_atom_site_occupancy
Sm1 0.097 0.162 0.102 1
Sm2 0.398 0.660 0.904 1
Ag1 0.000 0.000 0.500 1
Hg1 0.500 0.000 0.000 1
```

#x
Material: Sm4AgHg
Method: DFT, GGA-PBE
State: relaxed

- Calculated density: 8.6 Mg/m³
- Total magnetic moment: 0.24 μB/atom
- D(E_F): 7.15 states/eV/cell

Cell and atoms, written as CIF:
```
data_Sm4AgHg
_symmetry_space_group_name_H-M 'P 4/m m m'
_symmetry_Int_Tables_number 123
_symmetry_space_group_name_Hall '-P 4 2'
_cell_length_a 3.700
_cell_length_b 3.700
_cell_length_c 12.765
_cell_angle_alpha 90.00
_cell_angle_beta 90.00
_cell_angle_gamma 90.00
loop_
_atom_site_label
_atom_site_fract_x
_atom_site_fract_y
_atom_site_fract_z
_atom_site_occupancy
Sm1 0.000 0.000 0.146 1
Sm2 0.500 0.500 0.344 1
Ag1 0.500 0.500 0.000 1
Hg1 0.000 0.000 0.500 1
```

Which of them is the least stable? Correct choice: #w.